Compound: AcTb2Sm12
Source: the Alexandria database
Functional: PBE-GGA
Structure: relaxed

Its spin magnetization is 0.00 μB per cell. Its total energy is -0.331 Ry per atom. The calculation puts the formation energy at 165 meV/atom. Its volume is 2091.1 Å³/cell.

The structure belongs to space group Cmme (No. 67); the cell edges are 7.1657, 11.5548 and 25.2556 Å and the angles 90.00°, 90.00° and 90.00°. Symmetry generates all atoms from Ac at (0.0000, 0.2500, 0.0101), Tb at (0.0000, 0.2500, 0.2756), Tb at (0.0000, 0.2500, 0.7299), Sm at (0.0000, 0.0159, 0.9174), Sm at (0.0000, 0.0226, 0.4407), Sm at (0.2322, 0.2500, 0.5835), Sm at (0.2427, 0.2500, 0.1384), Sm at (0.2500, 0.0000, 0.2040) and Sm at (0.2500, 0.0000, 0.3286).